{
  "formula": "LiPrO3",
  "functional": "PBE",
  "state": "optimized geometry",
  "total_energy_ev_per_atom": -6.239,
  "density_g_cm3": 5.96,
  "lattice": [[2.809, 1.622, 3.994], [-2.809, 1.622, 3.994], [0.000, -3.243, 3.994]],
  "species": ["Li", "Li", "Pr", "Pr", "O", "O", "O", "O", "O", "O"],
  "frac_coords": [[0.000, 0.000, 0.000], [0.500, 0.500, 0.500], [0.250, 0.250, 0.250], [0.750, 0.750, 0.750], [0.180, 0.750, 0.320], [0.250, 0.680, 0.820], [0.320, 0.180, 0.750], [0.680, 0.820, 0.250], [0.750, 0.320, 0.180], [0.820, 0.250, 0.680]]
}



{
  "formula": "Rb2Li14Pr3O14",
  "functional": "PBE",
  "state": "optimized geometry",
  "total_energy_ev_per_atom": -5.357,
  "density_g_cm3": 3.75,
  "lattice": [[-3.710, 4.087, 6.678], [3.710, -4.087, 6.678], [3.710, 4.087, -6.678]],
  "species": ["Rb", "Rb", "Li", "Li", "Li", "Li", "Li", "Li", "Li", "Li", "Li", "Li", "Li", "Li", "Li", "Li", "Pr", "Pr", "Pr", "O", "O", "O", "O", "O", "O", "O", "O", "O", "O", "O", "O", "O", "O"],
  "frac_coords": [[0.000, 0.230, 0.230], [0.000, 0.770, 0.770], [0.089, 0.234, 0.855], [0.212, 0.144, 0.619], [0.212, 0.593, 0.068], [0.342, 0.500, 0.842], [0.379, 0.234, 0.145], [0.475, 0.407, 0.619], [0.475, 0.856, 0.068], [0.525, 0.144, 0.932], [0.525, 0.593, 0.381], [0.621, 0.766, 0.855], [0.658, 0.500, 0.158], [0.788, 0.407, 0.932], [0.788, 0.856, 0.381], [0.911, 0.766, 0.145], [0.227, 0.727, 0.500], [0.500, 0.000, 0.500], [0.773, 0.273, 0.500], [0.101, 0.377, 0.725], [0.172, 0.869, 0.303], [0.259, 0.063, 0.804], [0.259, 0.455, 0.196], [0.348, 0.623, 0.725], [0.434, 0.131, 0.303], [0.500, 0.306, 0.806], [0.500, 0.694, 0.194], [0.566, 0.869, 0.697], [0.652, 0.377, 0.275], [0.741, 0.545, 0.804], [0.741, 0.937, 0.196], [0.828, 0.131, 0.697], [0.899, 0.623, 0.275]]
}



{
  "formula": "LiPrSO",
  "functional": "PBE",
  "state": "optimized geometry",
  "total_energy_ev_per_atom": -6.317,
  "density_g_cm3": 4.75,
  "lattice": [[2.810, -2.812, 0.000], [2.810, 2.812, 0.000], [-0.042, 0.000, 8.675]],
  "species": ["Li", "Li", "Pr", "Pr", "S", "S", "O", "O"],
  "frac_coords": [[0.250, 0.750, 0.000], [0.750, 0.250, 0.000], [0.249, 0.249, 0.357], [0.751, 0.751, 0.643], [0.249, 0.249, 0.837], [0.751, 0.751, 0.163], [0.251, 0.749, 0.500], [0.749, 0.251, 0.500]]
}



{
  "formula": "LiPrSO",
  "functional": "PBE",
  "state": "optimized geometry",
  "total_energy_ev_per_atom": -6.221,
  "density_g_cm3": 5.07,
  "lattice": [[4.477, 0.000, 0.000], [0.000, 4.166, 0.000], [0.000, 0.000, 6.879]],
  "species": ["Li", "Li", "Pr", "Pr", "S", "S", "O", "O"],
  "frac_coords": [[0.000, 0.235, 0.000], [0.000, 0.765, 0.500], [0.500, 0.261, 0.344], [0.500, 0.739, 0.844], [0.000, 0.264, 0.659], [0.000, 0.736, 0.159], [0.500, 0.237, 0.004], [0.500, 0.763, 0.504]]
}



{
  "formula": "LiPrS2O8",
  "functional": "PBE",
  "state": "optimized geometry",
  "total_energy_ev_per_atom": -6.603,
  "density_g_cm3": 3.71,
  "lattice": [[13.523, 0.000, 0.000], [0.000, 6.658, 0.000], [-1.731, 0.000, 6.762]],
  "species": ["Li", "Li", "Li", "Li", "Pr", "Pr", "Pr", "Pr", "S", "S", "S", "S", "S", "S", "S", "S", "O", "O", "O", "O", "O", "O", "O", "O", "O", "O", "O", "O", "O", "O", "O", "O", "O", "O", "O", "O", "O", "O", "O", "O", "O", "O", "O", "O", "O", "O", "O", "O"],
  "frac_coords": [[0.054, 0.243, 0.008], [0.054, 0.257, 0.508], [0.946, 0.743, 0.492], [0.946, 0.757, 0.992], [0.314, 0.613, 0.162], [0.314, 0.887, 0.662], [0.686, 0.113, 0.338], [0.686, 0.387, 0.838], [0.114, 0.596, 0.799], [0.114, 0.904, 0.299], [0.394, 0.075, 0.201], [0.394, 0.425, 0.701], [0.606, 0.575, 0.299], [0.606, 0.925, 0.799], [0.886, 0.096, 0.701], [0.886, 0.404, 0.201], [0.012, 0.683, 0.777], [0.012, 0.817, 0.277], [0.123, 0.008, 0.121], [0.123, 0.492, 0.621], [0.142, 0.034, 0.480], [0.142, 0.466, 0.980], [0.193, 0.738, 0.344], [0.193, 0.762, 0.844], [0.333, 0.242, 0.679], [0.333, 0.258, 0.179], [0.362, 0.555, 0.521], [0.362, 0.945, 0.021], [0.372, 0.554, 0.861], [0.372, 0.946, 0.361], [0.497, 0.621, 0.260], [0.497, 0.879, 0.760], [0.503, 0.121, 0.240], [0.503, 0.379, 0.740], [0.628, 0.054, 0.639], [0.628, 0.446, 0.139], [0.638, 0.055, 0.979], [0.638, 0.445, 0.479], [0.667, 0.742, 0.821], [0.667, 0.758, 0.321], [0.807, 0.238, 0.156], [0.807, 0.262, 0.656], [0.858, 0.534, 0.020], [0.858, 0.966, 0.520], [0.877, 0.508, 0.379], [0.877, 0.992, 0.879], [0.988, 0.183, 0.723], [0.988, 0.317, 0.223]]
}



{
  "formula": "LiPrSO",
  "functional": "PBE",
  "state": "optimized geometry",
  "total_energy_ev_per_atom": -6.229,
  "density_g_cm3": 5.11,
  "lattice": [[5.852, 0.000, 0.000], [0.000, 6.819, 0.000], [-0.669, 0.000, 6.384]],
  "species": ["Li", "Li", "Li", "Li", "Pr", "Pr", "Pr", "Pr", "S", "S", "S", "S", "O", "O", "O", "O"],
  "frac_coords": [[0.104, 0.204, 0.028], [0.104, 0.296, 0.528], [0.896, 0.704, 0.472], [0.896, 0.796, 0.972], [0.375, 0.560, 0.232], [0.375, 0.940, 0.732], [0.625, 0.060, 0.268], [0.625, 0.440, 0.768], [0.118, 0.581, 0.772], [0.118, 0.919, 0.272], [0.882, 0.081, 0.728], [0.882, 0.419, 0.228], [0.426, 0.226, 0.988], [0.426, 0.274, 0.488], [0.574, 0.726, 0.512], [0.574, 0.774, 0.012]]
}



{
  "formula": "LiPrSO",
  "functional": "PBE",
  "state": "optimized geometry",
  "total_energy_ev_per_atom": -6.119,
  "density_g_cm3": 4.21,
  "lattice": [[5.797, 0.000, 0.000], [0.000, 9.358, 0.000], [0.000, 0.000, 5.700]],
  "species": ["Li", "Li", "Li", "Li", "Pr", "Pr", "Pr", "Pr", "S", "S", "S", "S", "O", "O", "O", "O"],
  "frac_coords": [[0.130, 0.041, 0.000], [0.370, 0.041, 0.500], [0.630, 0.959, 0.000], [0.870, 0.959, 0.500], [0.005, 0.308, 0.611], [0.495, 0.308, 0.111], [0.505, 0.692, 0.611], [0.995, 0.692, 0.111], [0.009, 0.646, 0.612], [0.491, 0.646, 0.112], [0.509, 0.354, 0.612], [0.991, 0.354, 0.112], [0.076, 0.089, 0.661], [0.424, 0.089, 0.161], [0.576, 0.911, 0.661], [0.924, 0.911, 0.161]]
}



{
  "formula": "LiPrSO",
  "functional": "PBE",
  "state": "optimized geometry",
  "total_energy_ev_per_atom": -6.317,
  "density_g_cm3": 4.74,
  "lattice": [[3.976, 0.000, 0.000], [0.000, 3.976, 0.000], [0.000, 0.000, 8.678]],
  "species": ["Li", "Li", "Pr", "Pr", "S", "S", "O", "O"],
  "frac_coords": [[0.250, 0.750, 0.000], [0.750, 0.250, 0.000], [0.250, 0.250, 0.358], [0.750, 0.750, 0.642], [0.250, 0.250, 0.837], [0.750, 0.750, 0.163], [0.250, 0.750, 0.500], [0.750, 0.250, 0.500]]
}



{
  "formula": "Li4PrSbO6",
  "functional": "PBE",
  "state": "optimized geometry",
  "total_energy_ev_per_atom": -5.949,
  "density_g_cm3": 4.70,
  "lattice": [[2.744, -4.997, 0.000], [2.744, 4.997, 0.000], [-1.567, 0.000, 4.973]],
  "species": ["Li", "Li", "Li", "Li", "Pr", "Sb", "O", "O", "O", "O", "O", "O"],
  "frac_coords": [[0.000, 0.000, 0.000], [0.411, 0.589, 0.000], [0.671, 0.329, 0.000], [0.877, 0.123, 0.500], [0.212, 0.788, 0.500], [0.540, 0.460, 0.500], [0.176, 0.379, 0.263], [0.299, 0.234, 0.735], [0.486, 0.113, 0.260], [0.621, 0.824, 0.737], [0.766, 0.701, 0.265], [0.887, 0.514, 0.740]]
}



{
  "formula": "LiPr3ScO8",
  "functional": "PBE",
  "state": "optimized geometry",
  "total_energy_ev_per_atom": -7.155,
  "density_g_cm3": 6.19,
  "lattice": [[7.212, 0.000, 0.000], [-3.606, 6.245, 0.000], [0.000, 0.000, 3.587]],
  "species": ["Li", "Pr", "Pr", "Pr", "Sc", "O", "O", "O", "O", "O", "O", "O", "O"],
  "frac_coords": [[0.000, 0.000, 0.000], [0.177, 0.355, 0.493], [0.177, 0.823, 0.493], [0.645, 0.823, 0.493], [0.667, 0.333, 0.008], [0.000, 0.000, 0.502], [0.303, 0.152, 0.996], [0.333, 0.667, 0.986], [0.543, 0.086, 0.481], [0.543, 0.457, 0.481], [0.848, 0.152, 0.996], [0.848, 0.697, 0.996], [0.914, 0.457, 0.481]]
}



{
  "formula": "Li2TbPrSe2O2",
  "functional": "PBE",
  "state": "optimized geometry",
  "total_energy_ev_per_atom": -6.129,
  "density_g_cm3": 5.86,
  "lattice": [[3.987, 0.000, 0.000], [0.000, 3.987, 0.000], [0.000, 0.000, 8.982]],
  "species": ["Li", "Li", "Tb", "Pr", "Se", "Se", "O", "O"],
  "frac_coords": [[0.000, 0.500, 0.000], [0.500, 0.000, 0.000], [0.000, 0.000, 0.371], [0.500, 0.500, 0.630], [0.000, 0.000, 0.822], [0.500, 0.500, 0.173], [0.000, 0.500, 0.491], [0.500, 0.000, 0.491]]
}



{
  "formula": "Li4PrTaO6",
  "functional": "PBE",
  "state": "optimized geometry",
  "total_energy_ev_per_atom": -6.994,
  "density_g_cm3": 5.57,
  "lattice": [[2.758, -4.887, 0.000], [2.758, 4.887, 0.000], [-1.672, 0.000, 4.927]],
  "species": ["Li", "Li", "Li", "Li", "Pr", "Ta", "O", "O", "O", "O", "O", "O"],
  "frac_coords": [[0.000, 0.000, 0.000], [0.401, 0.599, 0.000], [0.693, 0.307, 0.000], [0.869, 0.131, 0.500], [0.201, 0.799, 0.500], [0.532, 0.468, 0.500], [0.159, 0.385, 0.259], [0.294, 0.246, 0.730], [0.472, 0.115, 0.261], [0.615, 0.841, 0.741], [0.754, 0.706, 0.270], [0.885, 0.528, 0.739]]
}



Number 8 is which compound? LiPrSO